Entry from OQMD: a geometry-optimized CsZnSbSe3 structure (GGA-PBE).

Uncorrected energy in eV/atom: -3.50

```
12
Lattice="2.106 -8.074 0.000 2.106 8.074 0.000 0.000 0.000 11.074" Properties=species:S:1:pos:R:3 pbc="T T T"
Cs 2.106 4.184 8.306
Cs 2.106 -4.184 2.769
Zn 2.106 7.399 2.769
Zn 2.106 -7.399 8.306
Sb 2.106 0.000 0.000
Sb 2.106 0.000 5.537
Se 2.106 6.169 0.632
Se 2.106 6.169 4.905
Se 2.106 0.823 2.769
Se 2.106 -0.823 8.306
Se 2.106 -6.169 6.169
Se 2.106 -6.169 10.442
```

***

Entry from OQMD: a geometry-optimized CsSmSb structure (GGA-PBE).

Spin magnetization in μB/cell: 0.90
Uncorrected energy in eV/atom: -2.66

```
3
Lattice="0.000 3.923 3.923 3.923 0.000 3.923 3.923 3.923 0.000" Properties=species:S:1:pos:R:3 pbc="T T T"
Cs 0.000 0.000 0.000
Sm 5.885 5.885 5.885
Sb 1.962 1.962 1.962
```

***

Entry from OQMD: a geometry-optimized CsSmSb structure (GGA-PBE).

Spin magnetization in μB/cell: 0.21
Uncorrected energy in eV/atom: -3.25

```
3
Lattice="0.000 3.876 3.876 3.876 0.000 3.876 3.876 3.876 0.000" Properties=species:S:1:pos:R:3 pbc="T T T"
Cs 0.000 0.000 0.000
Sm 1.938 1.938 1.938
Sb 3.876 3.876 3.876
```

***

Entry from OQMD: a geometry-optimized CsSmSbTe3 structure (GGA-PBE).

Spin magnetization in μB/cell: 0.02
Uncorrected energy in eV/atom: -3.94

```
12
Lattice="2.285 -9.245 0.000 2.285 9.245 0.000 0.000 0.000 11.635" Properties=species:S:1:pos:R:3 pbc="T T T"
Cs 2.285 4.817 8.726
Cs 2.285 -4.817 2.909
Sm 0.000 0.000 0.000
Sm 0.000 0.000 5.818
Sb 2.285 0.687 2.909
Sb 2.285 -0.687 8.726
Te 2.285 7.650 2.909
Te 2.285 2.215 0.373
Te 2.285 2.215 5.445
Te 2.285 -2.215 6.190
Te 2.285 -2.215 11.263
Te 2.285 -7.650 8.726
```

***

Entry from OQMD: a geometry-optimized CsTa3Sb5 structure (GGA-PBE).

Spin magnetization in μB/cell: 0.01
Uncorrected energy in eV/atom: -6.56

```
9
Lattice="5.808 0.000 0.000 -2.904 5.030 0.000 0.000 0.000 9.598" Properties=species:S:1:pos:R:3 pbc="T T T"
Cs 0.000 0.000 0.000
Ta -1.452 2.515 4.799
Ta 2.904 0.000 4.799
Ta 1.452 2.515 4.799
Sb 0.000 0.000 4.799
Sb 0.000 3.353 2.430
Sb 0.000 3.353 7.168
Sb 2.904 1.677 2.430
Sb 2.904 1.677 7.168
```

***

Entry from OQMD: a geometry-optimized CsTaSb structure (GGA-PBE).

Spin magnetization in μB/cell: 3.00
Energy relative to the lowest polymorph listed for this composition in meV/atom: 956
Uncorrected energy in eV/atom: -3.42

```
3
Lattice="0.000 3.837 3.837 3.837 0.000 3.837 3.837 3.837 0.000" Properties=species:S:1:pos:R:3 pbc="T T T"
Cs 0.000 0.000 0.000
Ta 1.919 1.919 1.919
Sb 5.756 5.756 5.756
```

***

Entry from OQMD: a geometry-optimized CsTaSb structure (GGA-PBE).

Spin magnetization in μB/cell: 2.55
Energy relative to the lowest polymorph listed for this composition in meV/atom: 0
Uncorrected energy in eV/atom: -4.37

```
3
Lattice="0.000 3.639 3.639 3.639 0.000 3.639 3.639 3.639 0.000" Properties=species:S:1:pos:R:3 pbc="T T T"
Cs 0.000 0.000 0.000
Ta 1.819 1.819 1.819
Sb 3.639 3.639 3.639
```

***

Entry from OQMD: a geometry-optimized CsTbSbTe3 structure (GGA-PBE).

Spin magnetization in μB/cell: 0.03
Uncorrected energy in eV/atom: -3.91

```
12
Lattice="2.230 -9.077 0.000 2.230 9.077 0.000 0.000 0.000 11.793" Properties=species:S:1:pos:R:3 pbc="T T T"
Cs 2.230 4.719 8.845
Cs 2.230 -4.719 2.948
Tb 0.000 0.000 0.000
Tb 0.000 0.000 5.897
Sb 2.230 0.784 2.948
Sb 2.230 -0.784 8.845
Te 2.230 7.594 2.948
Te 2.230 2.191 0.323
Te 2.230 2.191 5.573
Te 2.230 -2.191 6.220
Te 2.230 -2.191 11.470
Te 2.230 -7.594 8.845
```

***

Entry from OQMD: a geometry-optimized CsTmSbTe3 structure (GGA-PBE).

Spin magnetization in μB/cell: 0.01
Uncorrected energy in eV/atom: -3.91

```
12
Lattice="2.401 -8.929 0.000 2.401 8.929 0.000 0.000 0.000 12.432" Properties=species:S:1:pos:R:3 pbc="T T T"
Cs 2.401 4.759 9.324
Cs 2.401 -4.759 3.108
Tm 2.401 0.000 0.000
Tm 2.401 0.000 6.216
Sb 2.401 7.296 3.108
Sb 2.401 -7.296 9.324
Te 2.401 6.937 0.034
Te 2.401 6.937 6.182
Te 2.401 0.048 9.324
Te 2.401 -0.048 3.108
Te 2.401 -6.937 6.250
Te 2.401 -6.937 12.398
```

***

Entry from OQMD: a geometry-optimized CsSbW structure (GGA-PBE).

Spin magnetization in μB/cell: 3.98
Energy relative to the lowest polymorph listed for this composition in meV/atom: 893
Uncorrected energy in eV/atom: -3.54

```
3
Lattice="0.000 3.908 3.908 3.908 0.000 3.908 3.908 3.908 0.000" Properties=species:S:1:pos:R:3 pbc="T T T"
Cs 0.000 0.000 0.000
Sb 5.862 5.862 5.862
W 1.954 1.954 1.954
```

***

Entry from OQMD: a geometry-optimized CsSbW structure (GGA-PBE).

Spin magnetization in μB/cell: 0.01
Energy relative to the lowest polymorph listed for this composition in meV/atom: 0
Uncorrected energy in eV/atom: -4.43

```
3
Lattice="0.000 3.454 3.454 3.454 0.000 3.454 3.454 3.454 0.000" Properties=species:S:1:pos:R:3 pbc="T T T"
Cs 0.000 0.000 0.000
Sb 3.454 3.454 3.454
W 1.727 1.727 1.727
```

***

Entry from OQMD: a geometry-optimized CsSmScSe3 structure (GGA-PBE).

Spin magnetization in μB/cell: 0.03
Uncorrected energy in eV/atom: -5.34

```
12
Lattice="2.188 -8.074 0.000 2.188 8.074 0.000 0.000 0.000 11.325" Properties=species:S:1:pos:R:3 pbc="T T T"
Cs 2.188 4.266 8.493
Cs 2.188 -4.266 2.831
Sm 2.188 0.000 0.000
Sm 2.188 0.000 5.662
Sc 2.188 7.471 2.831
Sc 2.188 -7.471 8.493
Se 2.188 6.128 0.645
Se 2.188 6.128 5.018
Se 2.188 0.846 2.831
Se 2.188 -0.846 8.493
Se 2.188 -6.128 6.307
Se 2.188 -6.128 10.680
```

***

Entry from OQMD: a geometry-optimized CsScZnTe2Se structure (GGA-PBE).

Spin magnetization in μB/cell: 0.01
Uncorrected energy in eV/atom: -4.15

```
12
Lattice="2.108 -8.436 0.000 2.108 8.436 0.000 0.000 0.000 10.930" Properties=species:S:1:pos:R:3 pbc="T T T"
Cs 2.108 4.410 8.197
Cs 2.108 -4.410 2.732
Sc 2.108 0.000 0.000
Sc 2.108 0.000 5.465
Zn 2.108 7.854 2.732
Zn 2.108 -7.854 8.197
Te 2.108 6.439 0.507
Te 2.108 6.439 4.958
Te 2.108 -6.439 5.972
Te 2.108 -6.439 10.423
Se 2.108 0.840 2.732
Se 2.108 -0.840 8.197
```

***

Entry from OQMD: a geometry-optimized CsTmScSe3 structure (GGA-PBE).

Spin magnetization in μB/cell: 0.06
Energy relative to the lowest polymorph listed for this composition in meV/atom: 0
Uncorrected energy in eV/atom: -5.27

```
12
Lattice="2.136 -8.080 0.000 2.136 8.080 0.000 0.000 0.000 10.980" Properties=species:S:1:pos:R:3 pbc="T T T"
Cs 2.136 4.236 8.235
Cs 2.136 -4.236 2.745
Tm 2.136 0.000 0.000
Tm 2.136 0.000 5.490
Sc 2.136 7.472 2.745
Sc 2.136 -7.472 8.235
Se 2.136 6.175 0.532
Se 2.136 6.175 4.958
Se 2.136 0.883 2.745
Se 2.136 -0.883 8.235
Se 2.136 -6.175 6.022
Se 2.136 -6.175 10.449
```

***

Entry from OQMD: a geometry-optimized CsTmScSe3 structure (GGA-PBE).

Spin magnetization in μB/cell: 1.80
Energy relative to the lowest polymorph listed for this composition in meV/atom: 89
Uncorrected energy in eV/atom: -5.18

```
12
Lattice="2.187 -8.177 0.000 2.187 8.177 0.000 0.000 0.000 10.753" Properties=species:S:1:pos:R:3 pbc="T T T"
Cs 2.187 4.166 8.065
Cs 2.187 -4.166 2.688
Tm 2.187 7.718 2.688
Tm 2.187 -7.718 8.065
Sc 2.187 0.000 0.000
Sc 2.187 0.000 5.377
Se 2.187 6.337 0.410
Se 2.187 6.337 4.967
Se 2.187 1.058 2.688
Se 2.187 -1.058 8.065
Se 2.187 -6.337 5.787
Se 2.187 -6.337 10.343
```

***

Entry from OQMD: a geometry-optimized CsScZnSe3 structure (GGA-PBE).

Spin magnetization in μB/cell: 0.00
Uncorrected energy in eV/atom: -4.26

```
12
Lattice="9.165 -2.048 0.000 9.165 2.048 0.000 -1.310 0.000 8.963" Properties=species:S:1:pos:R:3 pbc="T T T"
Cs 2.720 0.000 0.547
Cs 14.300 0.000 8.416
Sc 2.404 0.000 5.022
Sc 14.616 0.000 3.941
Zn 8.381 0.000 2.462
Zn 8.639 0.000 6.501
Se -0.655 0.000 4.482
Se 5.016 0.000 5.651
Se 5.955 0.000 2.234
Se 9.165 0.000 0.000
Se 11.065 0.000 6.729
Se 12.004 0.000 3.313
```

***

Entry from OQMD: a geometry-optimized CsTbSc structure (GGA-PBE).

Spin magnetization in μB/cell: 3.32
Uncorrected energy in eV/atom: -2.68

```
3
Lattice="0.000 4.144 4.144 4.144 0.000 4.144 4.144 4.144 0.000" Properties=species:S:1:pos:R:3 pbc="T T T"
Cs 0.000 0.000 0.000
Tb 4.144 4.144 4.144
Sc 2.072 2.072 2.072
```

***

Entry from OQMD: a geometry-optimized CsTm2Sc structure (GGA-PBE).

Spin magnetization in μB/cell: 0.50
Uncorrected energy in eV/atom: -3.51

```
4
Lattice="3.670 0.000 0.000 -1.835 3.178 0.000 0.000 0.000 10.800" Properties=species:S:1:pos:R:3 pbc="T T T"
Cs 0.000 0.000 0.000
Tm 0.000 2.119 3.142
Tm 1.835 1.059 5.593
Sc 0.000 2.119 7.873
```

***

Entry from OQMD: a geometry-optimized CsTmSc structure (GGA-PBE).

Spin magnetization in μB/cell: 3.39
Energy relative to the lowest polymorph listed for this composition in meV/atom: 0
Uncorrected energy in eV/atom: -2.60

```
3
Lattice="0.000 4.138 4.138 4.138 0.000 4.138 4.138 4.138 0.000" Properties=species:S:1:pos:R:3 pbc="T T T"
Cs 0.000 0.000 0.000
Tm 4.138 4.138 4.138
Sc 2.069 2.069 2.069
```

***

Entry from OQMD: a geometry-optimized CsScU structure (GGA-PBE).

Spin magnetization in μB/cell: 3.52
Energy relative to the lowest polymorph listed for this composition in meV/atom: 173
Uncorrected energy in eV/atom: -4.09

```
3
Lattice="0.000 3.553 3.553 3.553 0.000 3.553 3.553 3.553 0.000" Properties=species:S:1:pos:R:3 pbc="T T T"
Cs 0.000 0.000 0.000
Sc 5.330 5.330 5.330
U 1.777 1.777 1.777
```